Record 1
The following is a PBE-GGA calculation of crystalline ZnCdAu3 at its relaxed geometry, from Alexandria via LeMat-Bulk.

Calculated values
Energy above the lowest structure with this stoichiometry ... 841 meV/atom
Uncorrected energy ... -1.707 eV per atom
Calculated volume ... 28.1 Å³/atom
N(E_F) ... 2.85 states/eV per cell

a b c (Å): 5.1960 5.1960 5.1960
angles (deg): 90.00 90.00 90.00
Space group Pm-3m (No. 221)
Asymmetric unit:
Zn1 0.0000 0.0000 0.0000 (multiplicity 1)
Cd1 0.5000 0.5000 0.5000 (multiplicity 1)
Au1 0.0000 0.5000 0.5000 (multiplicity 3)



Record 2
The following is a PBE-GGA calculation of crystalline LiTh3Pb4 at its relaxed geometry, from Alexandria via LeMat-Bulk.

Calculated values
Uncorrected energy ... -5.074 eV per atom
Calculated volume ... 29.5 Å³/atom
N(E_F) ... 11.59 states/eV per cell

a b c (Å): 11.2701 6.2183 6.7350
angles (deg): 90.00 90.00 90.00
Space group Pmn2_1 (No. 31)
Asymmetric unit:
Li1 0.0000 0.2313 0.0000 (multiplicity 2)
Th1 0.0000 0.9496 0.4922 (multiplicity 2)
Th2 0.2371 0.5069 0.2933 (multiplicity 4)
Pb1 0.0000 0.4416 0.5710 (multiplicity 2)
Pb2 0.0000 0.6946 0.9969 (multiplicity 2)
Pb3 0.2162 0.0127 0.1167 (multiplicity 4)



Record 3
The following is a PBE-GGA calculation of crystalline Pm4Al3Tl at its relaxed geometry, from Alexandria via LeMat-Bulk.

Calculated values
Energy above the lowest structure with this stoichiometry ... 29 meV/atom
Uncorrected energy ... -4.417 eV per atom
Calculated volume ... 28.3 Å³/atom
N(E_F) ... 9.70 states/eV per cell

a b c (Å): 4.2990 4.5722 11.5301
angles (deg): 90.00 90.00 90.00
Space group Pmm2 (No. 25)
Asymmetric unit:
Pm1 0.0000 0.0000 0.0000 (multiplicity 1)
Pm2 0.0000 0.5000 0.4871 (multiplicity 1)
Pm3 0.5000 0.0000 0.7110 (multiplicity 1)
Pm4 0.5000 0.5000 0.2137 (multiplicity 1)
Al1 0.0000 0.0000 0.2846 (multiplicity 1)
Al2 0.5000 0.0000 0.4225 (multiplicity 1)
Al3 0.5000 0.5000 0.9320 (multiplicity 1)
Tl1 0.0000 0.5000 0.7736 (multiplicity 1)



Record 4
The following is a PBE-GGA calculation of crystalline La8CoPd2Pt at its relaxed geometry, from Alexandria via LeMat-Bulk.

Calculated values
Uncorrected energy ... -5.683 eV per atom
Calculated volume ... 33.2 Å³/atom
N(E_F) ... 13.91 states/eV per cell

a b c (Å): 6.7062 8.5121 6.9788
angles (deg): 90.00 91.12 90.00
Space group P2/m (No. 10)
Asymmetric unit:
La1 0.1327 0.0000 0.2581 (multiplicity 2)
La2 0.1439 0.5000 0.2586 (multiplicity 2)
La3 0.3607 0.2670 0.7311 (multiplicity 4)
Co1 0.5000 0.5000 0.5000 (multiplicity 1)
Pd1 0.0000 0.2499 0.0000 (multiplicity 2)
Pt1 0.5000 0.0000 0.5000 (multiplicity 1)



Record 5
The following is a PBE-GGA calculation of crystalline ZnGaSi2 at its relaxed geometry, from Alexandria via LeMat-Bulk.

Calculated values
Energy above the lowest structure with this stoichiometry ... 0 meV/atom
Uncorrected energy ... -3.373 eV per atom
Calculated volume ... 16.5 Å³/atom
N(E_F) ... 6.23 states/eV per cell
Formation energy (no corrections) ... 0.4139 eV/atom

a b c (Å): 6.4136 6.4136 6.4136
angles (deg): 90.00 90.00 90.00
Space group Fm-3m (No. 225)
Asymmetric unit:
Zn1 0.0000 0.0000 0.0000 (multiplicity 4)
Ga1 0.0000 0.0000 0.5000 (multiplicity 4)
Si1 0.2500 0.2500 0.2500 (multiplicity 8)



Record 6
The following is a PBE-GGA calculation of crystalline KNiAs2 at its relaxed geometry, from Alexandria via LeMat-Bulk.

Calculated values
Energy above the lowest structure with this stoichiometry ... 0 meV/atom
Uncorrected energy ... -4.360 eV per atom
Calculated volume ... 22.0 Å³/atom
N(E_F) ... 4.96 states/eV per cell

a b c (Å): 3.8651 3.8651 20.3788
angles (deg): 90.00 90.00 120.00
Space group R-3m (No. 166, hexagonal axes)
Asymmetric unit:
K1 0.0000 0.0000 0.0000 (multiplicity 3)
Ni1 0.0000 0.0000 0.5000 (multiplicity 3)
As1 0.0000 0.0000 0.2130 (multiplicity 6)



Record 7
The following is a PBE-GGA calculation of crystalline ZrSeIO2 at its relaxed geometry, from Alexandria via LeMat-Bulk.

Calculated values
Energy above the lowest structure with this stoichiometry ... 0 meV/atom
Uncorrected energy ... -5.993 eV per atom
Calculated volume ... 22.4 Å³/atom
N(E_F) ... 3.98 states/eV per cell
Formation energy (no corrections) ... -1.2929 eV/atom

a b c (Å): 4.0970 4.0970 6.6586
angles (deg): 90.00 90.00 90.00
Space group P4/mmm (No. 123)
Asymmetric unit:
Zr1 0.0000 0.0000 0.0000 (multiplicity 1)
Se1 0.5000 0.5000 0.5000 (multiplicity 1)
I1 0.0000 0.0000 0.5000 (multiplicity 1)
O1 0.0000 0.5000 0.0000 (multiplicity 2)



Record 8
The following is a PBE-GGA calculation of crystalline BaTe2H at its relaxed geometry, from Alexandria via LeMat-Bulk.

Calculated values
Energy above the lowest structure with this stoichiometry ... 514 meV/atom
Uncorrected energy ... -2.916 eV per atom
Calculated volume ... 32.9 Å³/atom
N(E_F) ... 23.79 states/eV per cell

a b c (Å): 8.0706 8.0706 8.0706
angles (deg): 90.00 90.00 90.00
Space group Fm-3m (No. 225)
Asymmetric unit:
Ba1 0.0000 0.0000 0.0000 (multiplicity 4)
Te1 0.2500 0.2500 0.2500 (multiplicity 8)
H1 0.0000 0.0000 0.5000 (multiplicity 4)



Record 9
The following is a PBE-GGA calculation of crystalline MgCdTeS at its relaxed geometry, from Alexandria via LeMat-Bulk.

Calculated values
Uncorrected energy ... -3.256 eV per atom
Calculated volume ... 29.4 Å³/atom
Formation energy (no corrections) ... -0.8116 eV/atom

a b c (Å): 4.3489 4.3489 21.5519
angles (deg): 90.00 90.00 120.00
Space group R3m (No. 160, hexagonal axes)
Asymmetric unit:
Mg1 0.0000 0.0000 0.0000 (multiplicity 3)
Cd1 0.0000 0.0000 0.5204 (multiplicity 3)
Te1 0.0000 0.0000 0.1311 (multiplicity 3)
S1 0.0000 0.0000 0.6397 (multiplicity 3)